Entry 1:
{
  "formula": "PuPaPd6",
  "functional": "PBE-GGA",
  "state": "optimized geometry",
  "formation_enthalpy_0k_ev_per_atom": -0.25,
  "dft_energy_ev_per_cell": -56.96,
  "relative_energy_ev_per_fu": 3.56,
  "dos_ef_per_ev_cell": 19.4,
  "lattice_angstrom": [[2.748, 1.586, 6.955], [-2.748, 1.586, 6.955], [0.000, -3.173, 6.955]],
  "species": ["Pu", "Pa", "Pd", "Pd", "Pd", "Pd", "Pd", "Pd"],
  "frac_coords": [[0.000, 0.000, 0.000], [0.500, 0.500, 0.500], [0.059, 0.570, 0.570], [0.430, 0.430, 0.941], [0.430, 0.941, 0.430], [0.570, 0.059, 0.570], [0.570, 0.570, 0.059], [0.941, 0.430, 0.430]]
}

Entry 2:
{
  "formula": "PuPa2Pd",
  "functional": "PBE-GGA",
  "state": "optimized geometry",
  "formation_enthalpy_0k_ev_per_atom": 0.15,
  "dft_energy_ev_per_cell": -37.93,
  "relative_energy_ev_per_fu": 1.56,
  "dos_ef_per_ev_cell": 10.3,
  "lattice_angstrom": [[1.564, 0.903, 10.835], [-1.564, 0.903, 10.835], [0.000, -1.806, 10.835]],
  "species": ["Pu", "Pa", "Pa", "Pd"],
  "frac_coords": [[0.000, 0.000, 0.000], [0.417, 0.417, 0.417], [0.583, 0.583, 0.583], [0.500, 0.500, 0.500]]
}

Entry 3:
{
  "formula": "PuPa5Pd",
  "functional": "PBE-GGA",
  "state": "optimized geometry",
  "formation_enthalpy_0k_ev_per_atom": 0.22,
  "dft_energy_ev_per_cell": -130.86,
  "dos_ef_per_ev_cell": 23.1,
  "lattice_angstrom": [[5.682, -4.257, 0.000], [5.682, 4.257, 0.000], [-3.583, 0.000, 8.598]],
  "species": ["Pu", "Pu", "Pa", "Pa", "Pa", "Pa", "Pa", "Pa", "Pa", "Pa", "Pa", "Pa", "Pd", "Pd"],
  "frac_coords": [[0.044, 0.956, 0.750], [0.956, 0.044, 0.250], [0.165, 0.827, 0.066], [0.173, 0.835, 0.434], [0.184, 0.279, 0.358], [0.279, 0.184, 0.858], [0.334, 0.666, 0.750], [0.666, 0.334, 0.250], [0.721, 0.816, 0.142], [0.816, 0.721, 0.642], [0.827, 0.165, 0.566], [0.835, 0.173, 0.934], [0.500, 0.500, 0.000], [0.500, 0.500, 0.500]]
}

Entry 4:
{
  "formula": "Pu2PaPd3",
  "functional": "PBE-GGA",
  "state": "optimized geometry",
  "formation_enthalpy_0k_ev_per_atom": -0.41,
  "dft_energy_ev_per_cell": -56.18,
  "dos_ef_per_ev_cell": 21.8,
  "lattice_angstrom": [[2.331, -7.468, 0.000], [2.331, 7.468, 0.000], [0.000, 0.000, 3.748]],
  "species": ["Pu", "Pu", "Pa", "Pd", "Pd", "Pd"],
  "frac_coords": [[0.186, 0.814, 0.000], [0.814, 0.186, 0.000], [0.500, 0.500, 0.000], [0.000, 0.000, 0.500], [0.361, 0.639, 0.500], [0.639, 0.361, 0.500]]
}

Entry 5:
{
  "formula": "PuPa2Pd",
  "functional": "PBE-GGA",
  "state": "optimized geometry",
  "formation_enthalpy_0k_ev_per_atom": -0.24,
  "dft_energy_ev_per_cell": -39.49,
  "relative_energy_ev_per_fu": 0.00,
  "dos_ef_per_ev_cell": 8.1,
  "lattice_angstrom": [[5.205, 0.000, 0.000], [0.000, 5.205, 0.000], [0.000, 0.000, 3.200]],
  "species": ["Pu", "Pa", "Pa", "Pd"],
  "frac_coords": [[0.000, 0.000, 0.000], [0.000, 0.500, 0.500], [0.500, 0.000, 0.500], [0.500, 0.500, 0.000]]
}

Entry 6:
{
  "formula": "PuPaPd6",
  "functional": "PBE-GGA",
  "state": "optimized geometry",
  "formation_enthalpy_0k_ev_per_atom": -0.69,
  "dft_energy_ev_per_cell": -60.53,
  "relative_energy_ev_per_fu": 0.00,
  "dos_ef_per_ev_cell": 14.8,
  "lattice_angstrom": [[4.159, 0.000, 0.000], [0.000, 4.159, 0.000], [0.000, 0.000, 8.317]],
  "species": ["Pu", "Pa", "Pd", "Pd", "Pd", "Pd", "Pd", "Pd"],
  "frac_coords": [[0.000, 0.000, 0.000], [0.000, 0.000, 0.500], [0.000, 0.500, 0.260], [0.000, 0.500, 0.740], [0.500, 0.000, 0.260], [0.500, 0.000, 0.740], [0.500, 0.500, 0.000], [0.500, 0.500, 0.500]]
}

Entry 7:
{
  "formula": "PuPaPd4",
  "functional": "PBE-GGA",
  "state": "optimized geometry",
  "formation_enthalpy_0k_ev_per_atom": -0.47,
  "dft_energy_ev_per_cell": -47.42,
  "relative_energy_ev_per_fu": 0.67,
  "dos_ef_per_ev_cell": 12.5,
  "lattice_angstrom": [[4.584, 0.000, 0.000], [-2.292, 3.970, 0.000], [0.000, 0.000, 6.593]],
  "species": ["Pu", "Pa", "Pd", "Pd", "Pd", "Pd"],
  "frac_coords": [[0.000, 0.000, 0.000], [0.000, 0.000, 0.500], [0.333, 0.667, 0.265], [0.333, 0.667, 0.735], [0.667, 0.333, 0.265], [0.667, 0.333, 0.735]]
}

Entry 8:
{
  "formula": "PuPaPd4",
  "functional": "PBE-GGA",
  "state": "optimized geometry",
  "formation_enthalpy_0k_ev_per_atom": -0.58,
  "dft_energy_ev_per_cell": -96.19,
  "relative_energy_ev_per_fu": 0.00,
  "dos_ef_per_ev_cell": 17.5,
  "lattice_angstrom": [[4.196, -4.080, 0.000], [4.196, 4.080, 0.000], [-2.834, 0.000, 6.641]],
  "species": ["Pu", "Pu", "Pa", "Pa", "Pd", "Pd", "Pd", "Pd", "Pd", "Pd", "Pd", "Pd"],
  "frac_coords": [[0.099, 0.099, 0.325], [0.901, 0.901, 0.675], [0.394, 0.394, 0.682], [0.606, 0.606, 0.318], [0.108, 0.596, 0.307], [0.252, 0.252, 0.999], [0.253, 0.747, 0.000], [0.404, 0.892, 0.693], [0.596, 0.108, 0.307], [0.747, 0.253, 0.000], [0.748, 0.748, 0.001], [0.892, 0.404, 0.693]]
}